Entry 1
Density functional theory data (PBE) for a relaxed CaPdSeN2 crystal.

DOS at the Fermi energy: 0.995 states/eV/atom
size of the total moment: 4.8 μB/cell
space-group type: No. 123
calculated density: 3.68 g/cm³

```
5
Lattice="4.409 0.000 0.000 0.000 4.409 0.000 0.000 0.000 5.878" Properties=species:S:1:pos:R:3 pbc="T T T"
Ca 0.000 0.000 0.000
Pd 2.204 2.204 2.939
Se 0.000 0.000 2.939
N 0.000 2.204 0.000
N 2.204 0.000 0.000
```



Entry 2
Density functional theory data (PBE) for a relaxed CaPdSeN2 crystal.

DOS at the Fermi energy: 0.394 states/eV/atom
size of the total moment: 3.2 μB/cell
space-group type: No. 123
calculated density: 4.74 g/cm³

```
5
Lattice="4.078 0.000 0.000 0.000 4.078 0.000 0.000 0.000 5.344" Properties=species:S:1:pos:R:3 pbc="T T T"
Ca 0.000 0.000 0.000
Pd 2.039 2.039 2.672
Se 2.039 2.039 0.000
N 0.000 2.039 2.672
N 2.039 0.000 2.672
```



Which is less stable than every other structure shown? entry 1 is.